Record 1
Below is a relaxed RbCrTe2N crystal, with properties calculated at the PBE level.

Cell: 6.047 6.047 3.551 Å, 90.00 90.00 90.00°
Space group P4/mmm (No. 123)
One atom of each set of equivalent atoms:
Rb1 0.000 0.000 0.000 (multiplicity 1)
Cr1 0.500 0.500 0.500 (multiplicity 1)
Te1 0.000 0.500 0.500 (multiplicity 2)
N1 0.500 0.500 0.000 (multiplicity 1)

For the uncorrected formation energy, the calculation gives -0.09 eV/atom.

Record 2
Below is a relaxed RbCrTe2N crystal, with properties calculated at the PBE level.

Cell: 6.187 6.187 4.148 Å, 90.00 90.00 90.00°
Space group P4/mmm (No. 123)
One atom of each set of equivalent atoms:
Rb1 0.000 0.000 0.000 (multiplicity 1)
Cr1 0.500 0.500 0.500 (multiplicity 1)
Te1 0.000 0.500 0.000 (multiplicity 2)
N1 0.000 0.000 0.500 (multiplicity 1)

For the uncorrected formation energy, the calculation gives 2.43 eV/atom.

Distance to the lowest polymorph of the same formula (eV per formula unit)
0.000, 12.627